1.
The following is a DFT calculation (PBE-GGA) of crystalline Tm6FeCo2 at its relaxed geometry.

The space group is C2/m (No. 12) and the conventional cell measures 13.872, 3.601 and 10.329 Å, with angles of 90.00, 126.48 and 90.00 degrees. The asymmetric unit holds Tm at (0.015, 0.000, 0.185), Tm at (0.157, 0.500, 0.531), Tm at (0.231, 0.500, 0.126), Fe at (0.000, 0.000, 0.500) and Co at (0.088, 0.500, 0.736).

The calculation puts the energy at -5.588 eV per atom. As for the formation enthalpy at 0 K: -87 meV/atom. The calculation puts the calculated volume at 415 Å³/cell. The density is 9.50 g cm⁻³. The value obtained for the density of states at the Fermi level is 10.236 states/eV/f.u.

2.
The following is a DFT calculation (PBE-GGA) of crystalline BeRuS2I at its relaxed geometry.

The space group is P4/mmm (No. 123) and the conventional cell measures 4.474, 4.474 and 5.875 Å, with angles of 90.00, 90.00 and 90.00 degrees. The asymmetric unit holds Be at (0.000, 0.000, 0.000), Ru at (0.500, 0.500, 0.500), S at (0.000, 0.500, 0.500) and I at (0.500, 0.500, 0.000).

The calculation puts the energy at -3.869 eV per atom. The calculation puts the calculated volume at 118 Å³/cell. The density is 4.25 g cm⁻³. The value obtained for the density of states at the Fermi level is 4.692 states/eV/f.u. The calculation puts the raw formation energy at 0.6921 eV/atom.

3.
The following is a DFT calculation (PBE-GGA) of crystalline Ba4Ir at its relaxed geometry.

The space group is Pm-3m (No. 221) and the conventional cell measures 6.309, 6.309 and 6.309 Å, with angles of 90.00, 90.00 and 90.00 degrees. The asymmetric unit holds Ba at (0.000, 0.000, 0.000), Ba at (0.000, 0.500, 0.500) and Ir at (0.500, 0.500, 0.500).

The calculation puts the energy at -3.354 eV per atom. As for the formation enthalpy at 0 K: -43 meV/atom. The calculation puts the calculated volume at 251 Å³/cell. The density is 4.90 g cm⁻³. The value obtained for the density of states at the Fermi level is 6.744 states/eV/f.u. The distance to the lowest polymorph of the same formula comes out at 95 meV/atom.

4.
The following is a DFT calculation (PBE-GGA) of crystalline Rb2MnTcOs at its relaxed geometry.

The space group is P4/mmm (No. 123) and the conventional cell measures 6.563, 6.563 and 4.412 Å, with angles of 90.00, 90.00 and 90.00 degrees. The asymmetric unit holds Rb at (0.000, 0.500, 0.000), Mn at (0.000, 0.000, 0.500), Tc at (0.000, 0.000, 0.000) and Os at (0.500, 0.500, 0.500).

The calculation puts the energy at -4.220 eV per atom. As for the formation enthalpy at 0 K: 2320 meV/atom. The calculation puts the calculated volume at 190 Å³/cell. The density is 4.49 g cm⁻³. The value obtained for the density of states at the Fermi level is 6.005 states/eV/f.u.

Among the records above, which one has the lowest calculated volume? BeRuS2I